{"formula": "RbPWS2", "functional": "PBE", "state": "relaxed", "cell": [[5.435, 0.000, 0.000], [0.000, 5.435, 0.000], [0.000, 0.000, 5.303]], "species": ["P", "S", "S", "Rb", "W"], "fractional_positions": [[0.000, 0.000, 0.500], [0.000, 0.500, 0.000], [0.500, 0.000, 0.000], [0.000, 0.000, 0.000], [0.500, 0.500, 0.500]], "relative_energy_ev_per_fu": 14.032, "total_energy_ev_per_cell": -15.00}

***

{"formula": "RbP2WS8", "functional": "PBE", "state": "relaxed", "cell": [[-1.183, 5.028, -3.010], [-5.470, 2.402, 0.225], [0.446, 7.808, 6.930]], "species": ["Rb", "P", "P", "W", "S", "S", "S", "S", "S", "S", "S", "S"], "fractional_positions": [[0.500, 0.500, 0.500], [0.266, 0.266, 0.203], [0.734, 0.734, 0.797], [0.000, 0.000, 0.000], [0.199, 0.199, 0.403], [0.624, 0.288, 0.137], [0.801, 0.801, 0.597], [0.950, 0.624, 0.137], [0.050, 0.376, 0.863], [0.288, 0.950, 0.137], [0.712, 0.050, 0.863], [0.376, 0.712, 0.863]], "total_energy_ev_per_cell": -62.01}

***

{"formula": "Rb2ZnPS4", "functional": "PBE", "state": "relaxed", "cell": [[-0.140, -5.430, 2.158], [2.583, -5.111, -4.776], [10.850, -1.266, 5.434]], "species": ["Rb", "Rb", "Rb", "Rb", "Zn", "Zn", "P", "P", "S", "S", "S", "S", "S", "S", "S", "S"], "fractional_positions": [[0.178, 0.000, 0.644], [0.822, 0.000, 0.356], [0.572, 0.500, 0.856], [0.928, 0.500, 0.144], [0.750, 0.500, 0.500], [0.000, 0.000, 0.000], [0.250, 0.500, 0.500], [0.500, 0.000, 0.000], [0.313, 0.816, 0.101], [0.230, 0.184, 0.899], [0.871, 0.816, 0.899], [0.586, 0.184, 0.101], [0.437, 0.684, 0.399], [0.520, 0.316, 0.601], [0.879, 0.684, 0.601], [0.164, 0.316, 0.399]], "total_energy_ev_per_cell": -61.31}

***

{"formula": "RbZnP2S", "functional": "PBE", "state": "relaxed", "cell": [[7.185, 0.000, 0.000], [0.000, 7.185, 0.000], [0.000, 0.000, 6.396]], "species": ["P", "P", "Zn", "S", "Rb"], "fractional_positions": [[0.000, 0.500, 0.000], [0.500, 0.000, 0.000], [0.500, 0.500, 0.500], [0.000, 0.000, 0.500], [0.000, 0.000, 0.000]], "relative_energy_ev_per_fu": 6.227, "total_energy_ev_per_cell": -9.05}

***

{"formula": "RbZnP2S", "functional": "PBE", "state": "relaxed", "cell": [[4.773, 0.000, 0.000], [0.000, 4.773, 0.000], [0.000, 0.000, 5.189]], "species": ["P", "P", "Zn", "S", "Rb"], "fractional_positions": [[0.000, 0.500, 0.000], [0.500, 0.000, 0.000], [0.000, 0.000, 0.000], [0.000, 0.000, 0.500], [0.500, 0.500, 0.500]], "relative_energy_ev_per_fu": 0.000, "total_energy_ev_per_cell": -15.28}

***

{"formula": "Rb2ZnP2S6", "functional": "PBE", "state": "relaxed", "cell": [[-6.570, -1.660, -0.827], [-1.706, -6.319, -1.941], [-3.091, -4.538, 5.487]], "species": ["Rb", "Rb", "Zn", "P", "P", "S", "S", "S", "S", "S", "S"], "fractional_positions": [[0.762, 0.762, 0.715], [0.238, 0.238, 0.285], [0.000, 0.000, 0.000], [0.440, 0.440, 0.680], [0.560, 0.560, 0.320], [0.748, 0.748, 0.263], [0.241, 0.748, 0.263], [0.748, 0.241, 0.263], [0.252, 0.759, 0.737], [0.759, 0.252, 0.737], [0.252, 0.252, 0.737]], "total_energy_ev_per_cell": -45.03}

***

{"formula": "RbZnPS4", "functional": "PBE", "state": "relaxed", "cell": [[-3.074, 1.383, 4.910], [-1.766, -7.441, 0.990], [8.786, -1.741, 2.580]], "species": ["Rb", "Rb", "Zn", "Zn", "P", "P", "S", "S", "S", "S", "S", "S", "S", "S"], "fractional_positions": [[0.732, 0.750, 0.885], [0.268, 0.250, 0.115], [0.699, 0.750, 0.306], [0.301, 0.250, 0.694], [0.190, 0.750, 0.290], [0.810, 0.250, 0.710], [0.027, 0.461, 0.720], [0.973, 0.961, 0.280], [0.973, 0.539, 0.280], [0.027, 0.039, 0.720], [0.325, 0.750, 0.109], [0.675, 0.250, 0.891], [0.484, 0.750, 0.476], [0.516, 0.250, 0.524]], "total_energy_ev_per_cell": -57.70}

***

{"formula": "RbZnPS2", "functional": "PBE", "state": "relaxed", "cell": [[-3.750, 2.070, -2.641], [-3.039, -0.415, 3.990], [1.314, 4.219, 1.440]], "species": ["P", "Zn", "S", "S", "Rb"], "fractional_positions": [[0.000, 0.000, 0.500], [0.000, 0.000, 0.000], [0.000, 0.500, 0.000], [0.500, 0.000, 0.000], [0.500, 0.500, 0.500]], "relative_energy_ev_per_fu": 0.000, "total_energy_ev_per_cell": -15.17}

***

{"formula": "RbZnPS2", "functional": "PBE", "state": "relaxed", "cell": [[-5.321, -2.520, 3.075], [-1.707, -3.192, -5.569], [3.898, -5.703, 2.073]], "species": ["P", "Zn", "S", "S", "Rb"], "fractional_positions": [[0.000, 0.000, 0.500], [0.500, 0.500, 0.500], [0.000, 0.500, 0.000], [0.500, 0.000, 0.000], [0.000, 0.000, 0.000]], "relative_energy_ev_per_fu": 6.207, "total_energy_ev_per_cell": -8.96}

***

{"formula": "RbZrPS2", "functional": "PBE", "state": "relaxed", "cell": [[-1.943, -3.874, -2.698], [1.211, -3.229, 3.765], [-4.601, 0.800, 2.165]], "species": ["P", "S", "S", "Rb", "Zr"], "fractional_positions": [[0.000, 0.000, 0.500], [0.000, 0.500, 0.000], [0.500, 0.000, 0.000], [0.500, 0.500, 0.500], [0.000, 0.000, 0.000]], "relative_energy_ev_per_fu": 0.000, "total_energy_ev_per_cell": -27.02}

***

{"formula": "RbZrPS2", "functional": "PBE", "state": "relaxed", "cell": [[-2.717, 0.747, 4.323], [-2.136, -4.667, -0.536], [3.823, -2.066, 2.760]], "species": ["P", "S", "S", "Rb", "Zr"], "fractional_positions": [[0.000, 0.000, 0.500], [0.000, 0.500, 0.000], [0.500, 0.000, 0.000], [0.000, 0.000, 0.000], [0.500, 0.500, 0.500]], "relative_energy_ev_per_fu": 11.031, "total_energy_ev_per_cell": -15.99}

***

{"formula": "Rb3Zr2P5S18", "functional": "PBE", "state": "relaxed", "cell": [[6.999, 0.138, -0.045], [-0.237, 6.996, -0.045], [-2.473, -2.609, 34.006]], "species": ["Rb", "Rb", "Rb", "Rb", "Rb", "Rb", "Zr", "Zr", "Zr", "Zr", "P", "P", "P", "P", "P", "P", "P", "P", "P", "P", "S", "S", "S", "S", "S", "S", "S", "S", "S", "S", "S", "S", "S", "S", "S", "S", "S", "S", "S", "S", "S", "S", "S", "S", "S", "S", "S", "S", "S", "S", "S", "S", "S", "S", "S", "S"], "fractional_positions": [[0.249, 0.464, 0.865], [0.464, 0.249, 0.365], [0.918, 0.655, 0.255], [0.655, 0.918, 0.755], [0.795, 0.964, 0.571], [0.964, 0.795, 0.071], [0.138, 0.530, 0.463], [0.530, 0.138, 0.963], [0.362, 0.512, 0.655], [0.512, 0.362, 0.155], [0.196, 0.723, 0.379], [0.068, 0.029, 0.944], [0.277, 0.552, 0.558], [0.723, 0.196, 0.879], [0.640, 0.175, 0.239], [0.823, 0.424, 0.674], [0.424, 0.823, 0.174], [0.175, 0.640, 0.739], [0.552, 0.277, 0.058], [0.029, 0.068, 0.444], [0.796, 0.183, 0.191], [0.382, 0.443, 0.729], [0.220, 0.610, 0.169], [0.322, 0.035, 0.141], [0.392, 0.325, 0.586], [0.831, 0.276, 0.448], [0.301, 0.722, 0.327], [0.183, 0.796, 0.691], [0.443, 0.382, 0.229], [0.276, 0.831, 0.948], [0.849, 0.949, 0.976], [0.784, 0.181, 0.291], [0.507, 0.011, 0.888], [0.035, 0.322, 0.641], [0.673, 0.704, 0.156], [0.704, 0.673, 0.656], [0.610, 0.220, 0.669], [0.391, 0.720, 0.426], [0.433, 0.626, 0.514], [0.907, 0.475, 0.735], [0.181, 0.784, 0.791], [0.276, 0.767, 0.603], [0.949, 0.849, 0.476], [0.490, 0.007, 0.032], [0.034, 0.984, 0.383], [0.720, 0.391, 0.926], [0.291, 0.191, 0.463], [0.011, 0.507, 0.388], [0.984, 0.034, 0.883], [0.475, 0.907, 0.235], [0.626, 0.433, 0.014], [0.191, 0.291, 0.963], [0.767, 0.276, 0.103], [0.722, 0.301, 0.827], [0.007, 0.490, 0.532], [0.325, 0.392, 0.086]], "total_energy_ev_per_cell": -286.85}

***

{"formula": "RbSb2P", "functional": "PBE", "state": "relaxed", "cell": [[8.167, 0.000, 0.000], [0.000, 8.167, 0.000], [4.084, 4.084, 4.322]], "species": ["Sb", "Sb", "Sb", "Sb", "Rb", "Rb", "P", "P"], "fractional_positions": [[0.517, 0.125, 0.250], [0.233, 0.625, 0.250], [0.375, 0.483, 0.750], [0.875, 0.767, 0.750], [0.000, 0.000, 0.000], [0.750, 0.250, 0.500], [0.500, 0.500, 0.000], [0.250, 0.750, 0.500]], "total_energy_ev_per_cell": -29.33}

***

{"formula": "Rb2SbP", "functional": "PBE", "state": "relaxed", "cell": [[0.000, 4.160, 4.160], [4.160, 0.000, 4.160], [4.160, 4.160, 0.000]], "species": ["Sb", "Rb", "Rb", "P"], "fractional_positions": [[0.500, 0.500, 0.500], [0.250, 0.250, 0.250], [0.750, 0.750, 0.750], [0.000, 0.000, 0.000]], "relative_energy_ev_per_fu": 1.586, "total_energy_ev_per_cell": -10.24}

***

{"formula": "RbSbP3", "functional": "PBE", "state": "relaxed", "cell": [[-3.405, 1.816, -3.627], [-3.895, -0.142, 3.586], [1.132, 4.973, 1.427]], "species": ["Sb", "Rb", "P", "P", "P"], "fractional_positions": [[0.500, 0.500, 0.500], [0.000, 0.000, 0.000], [0.000, 0.500, 0.000], [0.000, 0.000, 0.500], [0.500, 0.000, 0.000]], "relative_energy_ev_per_fu": 6.827, "total_energy_ev_per_cell": -11.07}

***

{"formula": "RbSb2P", "functional": "PBE", "state": "relaxed", "cell": [[3.865, 0.000, 0.000], [1.933, 3.347, 0.000], [1.933, 1.116, 9.383]], "species": ["Sb", "Sb", "Rb", "P"], "fractional_positions": [[0.275, 0.275, 0.176], [0.725, 0.725, 0.824], [0.500, 0.500, 0.500], [0.000, 0.000, 0.000]], "total_energy_ev_per_cell": -14.34}

***

{"formula": "Rb3SbP", "functional": "PBE", "state": "relaxed", "cell": [[6.478, 0.000, 0.000], [0.000, 6.478, 0.000], [0.000, 0.000, 6.478]], "species": ["Sb", "Rb", "Rb", "Rb", "P"], "fractional_positions": [[0.500, 0.500, 0.500], [0.000, 0.500, 0.000], [0.000, 0.000, 0.500], [0.500, 0.000, 0.000], [0.000, 0.000, 0.000]], "relative_energy_ev_per_fu": 0.000, "total_energy_ev_per_cell": -11.65}

***

{"formula": "Rb8SbP2", "functional": "PBE", "state": "relaxed", "cell": [[5.509, 0.000, -1.677], [-1.351, 7.818, -4.440], [0.136, 0.608, 10.337]], "species": ["Rb", "Rb", "Rb", "Rb", "Rb", "Rb", "Rb", "Rb", "Sb", "P", "P"], "fractional_positions": [[0.663, 0.884, 0.327], [0.337, 0.558, 0.673], [0.154, 0.154, 0.308], [0.000, 0.300, 0.000], [0.846, 0.846, 0.692], [0.663, 0.442, 0.327], [0.337, 0.116, 0.673], [0.000, 0.700, 0.000], [0.500, 0.000, 0.000], [0.183, 0.683, 0.366], [0.817, 0.317, 0.634]], "total_energy_ev_per_cell": -24.60}

***

{"formula": "RbSbP3", "functional": "PBE", "state": "relaxed", "cell": [[5.227, 0.000, 0.000], [0.000, 5.227, 0.000], [0.000, 0.000, 5.227]], "species": ["Sb", "Rb", "P", "P", "P"], "fractional_positions": [[0.000, 0.000, 0.000], [0.500, 0.500, 0.500], [0.000, 0.500, 0.000], [0.000, 0.000, 0.500], [0.500, 0.000, 0.000]], "relative_energy_ev_per_fu": 0.000, "total_energy_ev_per_cell": -17.90}

***

{"formula": "Rb2SbP", "functional": "PBE", "state": "relaxed", "cell": [[-9.434, 5.719, 6.984], [-8.752, -3.322, -9.102], [-9.535, -1.057, 0.190]], "species": ["Sb", "Sb", "Rb", "Rb", "Rb", "Rb", "P", "P"], "fractional_positions": [[0.000, 0.000, 0.000], [0.750, 0.250, 0.500], [0.410, 0.125, 0.250], [0.340, 0.625, 0.250], [0.375, 0.590, 0.750], [0.875, 0.660, 0.750], [0.500, 0.500, 0.000], [0.250, 0.750, 0.500]], "relative_energy_ev_per_fu": 0.000, "total_energy_ev_per_cell": -23.66}

***

The calculation returns the following formation energy without anion corrections values, one per record and in order: 2.52 -0.35 -0.69 1.63 0.38 -0.57 -0.67 0.15 1.39 -0.77 1.44 -0.79 -0.01 0.31 2.05 0.07 0.16 -0.17 0.68 -0.09 eV/atom.